# PrY2Ga3Ni3, relaxed, DFT PBE
# calculated density	7.04	g/cm³
# uncorrected energy	-5.43	eV per atom
# M_tot	0.004	μB/f.u.
# calculated volume	332	Å³ per cell
data_PrY2Ga3Ni3
_space_group_name_H-M_alt 'A m m 2'
_space_group_IT_number 38
_cell_length_a 3.792
_cell_length_b 12.264
_cell_length_c 7.141
_cell_angle_alpha 90.00
_cell_angle_beta 90.00
_cell_angle_gamma 90.00
loop_
_space_group_symop_operation_xyz
'x,y,z'
'-x,-y,z'
'-x,y,z'
'x,-y,z'
'x,y+1/2,z+1/2'
'-x,-y+1/2,z+1/2'
'-x,y+1/2,z+1/2'
'x,-y+1/2,z+1/2'
loop_
_atom_site_label
_atom_site_fract_x
_atom_site_fract_y
_atom_site_fract_z
Pr1 0.000 0.000 0.000
Y1 0.000 0.206 0.623
Ga1 0.500 0.000 0.652
Ga2 0.500 0.125 0.299
Ni1 0.000 0.000 0.417
Ni2 0.500 0.170 0.915